(1)
Compound: Pr2TmSb3Rh4
Source: Alexandria via LeMat-Bulk
Functional: PBE
Structure: optimized geometry

**Calculated volume**: 22.138 Å³ per atom
**Formation energy (no corrections)**: -8.77 eV/f.u.
**Crystal system**: tetragonal

The structure in CIF format:
```
data_Pr2TmSb3Rh4
_chemical_formula_sum 'Pr2 Tm1 Sb3 Rh4'
_symmetry_space_group_name_H-M 'P 1'
_symmetry_Int_Tables_number 1
_cell_length_a 4.418
_cell_length_b 4.418
_cell_length_c 11.340
_cell_angle_alpha 90.00
_cell_angle_beta 90.00
_cell_angle_gamma 90.00
loop_
_symmetry_equiv_pos_as_xyz
'x,y,z'
loop_
_atom_site_label
_atom_site_fract_x
_atom_site_fract_y
_atom_site_fract_z
_atom_site_occupancy
Pr1 0.500 0.000 0.230 1
Pr2 0.000 0.500 0.770 1
Tm1 0.500 0.500 0.500 1
Sb1 0.000 0.000 0.500 1
Sb2 0.500 0.000 0.870 1
Sb3 0.000 0.500 0.130 1
Rh1 0.500 0.500 0.000 1
Rh2 0.000 0.000 0.000 1
Rh3 0.500 0.000 0.642 1
Rh4 0.000 0.500 0.358 1
```



(2)
Compound: Y4Ho2Tl
Source: Alexandria via LeMat-Bulk
Functional: PBE
Structure: optimized geometry

**Calculated volume**: 31.290 Å³ per atom
**Crystal system**: monoclinic
**ΔH_f (0 K)**: 0.003 eV/atom

The structure in CIF format:
```
data_Y4Ho2Tl
_chemical_formula_sum 'Y4 Ho2 Tl1'
_symmetry_space_group_name_H-M 'P 1'
_symmetry_Int_Tables_number 1
_cell_length_a 3.490
_cell_length_b 8.557
_cell_length_c 8.422
_cell_angle_alpha 116.46
_cell_angle_beta 101.96
_cell_angle_gamma 90.00
loop_
_symmetry_equiv_pos_as_xyz
'x,y,z'
loop_
_atom_site_label
_atom_site_fract_x
_atom_site_fract_y
_atom_site_fract_z
_atom_site_occupancy
Y1 0.922 0.293 0.844 1
Y2 0.078 0.707 0.156 1
Y3 0.637 0.405 0.274 1
Y4 0.363 0.595 0.726 1
Ho1 0.782 0.860 0.563 1
Ho2 0.218 0.140 0.437 1
Tl1 0.000 0.000 0.000 1
```



(3)
Compound: La2Ho2ErTm
Source: Alexandria via LeMat-Bulk
Functional: PBE
Structure: optimized geometry

**Calculated volume**: 32.690 Å³ per atom
**Crystal system**: orthorhombic
**ΔH_f (0 K)**: 0.072 eV/atom

The structure in CIF format:
```
data_La2Ho2ErTm
_chemical_formula_sum 'La4 Ho4 Er2 Tm2'
_symmetry_space_group_name_H-M 'P 1'
_symmetry_Int_Tables_number 1
_cell_length_a 5.666
_cell_length_b 7.042
_cell_length_c 9.831
_cell_angle_alpha 90.00
_cell_angle_beta 90.00
_cell_angle_gamma 90.00
loop_
_symmetry_equiv_pos_as_xyz
'x,y,z'
loop_
_atom_site_label
_atom_site_fract_x
_atom_site_fract_y
_atom_site_fract_z
_atom_site_occupancy
La1 0.500 0.008 0.000 1
La2 0.000 0.258 0.179 1
La3 0.500 0.508 0.000 1
La4 0.000 0.758 0.821 1
Ho1 0.000 0.258 0.832 1
Ho2 0.500 0.258 0.335 1
Ho3 0.000 0.758 0.168 1
Ho4 0.500 0.758 0.665 1
Er1 0.500 0.257 0.657 1
Er2 0.500 0.757 0.343 1
Tm1 0.000 0.007 0.500 1
Tm2 0.000 0.507 0.500 1
```



(4)
Compound: Ba2SrCu
Source: Alexandria via LeMat-Bulk
Functional: PBE
Structure: optimized geometry

**Calculated volume**: 43.467 Å³ per atom
**Energy above the most stable polymorph in this dataset**: 0.0281 eV per atom
**Crystal system**: orthorhombic
**ΔH_f (0 K)**: 0.039 eV/atom

The structure in CIF format:
```
data_Ba2SrCu
_chemical_formula_sum 'Ba2 Sr1 Cu1'
_symmetry_space_group_name_H-M 'P 1'
_symmetry_Int_Tables_number 1
_cell_length_a 4.039
_cell_length_b 4.039
_cell_length_c 10.660
_cell_angle_alpha 90.00
_cell_angle_beta 90.00
_cell_angle_gamma 89.88
loop_
_symmetry_equiv_pos_as_xyz
'x,y,z'
loop_
_atom_site_label
_atom_site_fract_x
_atom_site_fract_y
_atom_site_fract_z
_atom_site_occupancy
Sr1 0.500 0.500 0.672 1
Ba1 0.000 0.000 0.991 1
Ba2 0.500 0.500 0.328 1
Cu1 0.000 0.000 0.509 1
```



What is the formula in the first record? Pr2TmSb3Rh4



Which value of calculated volume does entry 2 give? 31.290 Å³ per atom